No. 1
This record from OQMD via LeMat-Bulk describes crystalline LiPuF5 at its relaxed geometry. The functional is PBE.

Summary:
total energy = -6.9241 eV per atom
SG = I4_1/a (88)
magnetization = 3.999 μB per formula unit
crystal system = tetragonal

a = 10.704 Å, b = 10.704 Å, c = 10.704 Å
α = 95.06°, β = 95.06°, γ = 145.43°
Positions (direct):
Li1 0.161 0.892 0.107
Li2 0.285 0.054 0.393
Li3 0.392 0.785 0.731
Li4 0.446 0.339 0.231
Li5 0.554 0.661 0.769
Li6 0.608 0.215 0.269
Li7 0.715 0.946 0.607
Li8 0.839 0.108 0.893
Pu1 0.185 0.304 0.492
Pu2 0.193 0.685 0.381
Pu3 0.196 0.188 0.881
Pu4 0.312 0.693 0.008
Pu5 0.688 0.307 0.992
Pu6 0.804 0.812 0.119
Pu7 0.807 0.315 0.619
Pu8 0.815 0.696 0.508
F1 0.031 0.742 0.423
F2 0.045 0.925 0.973
F3 0.051 0.934 0.707
F4 0.087 0.678 0.003
F5 0.109 0.531 0.789
F6 0.151 0.030 0.227
F7 0.156 0.449 0.384
F8 0.175 0.084 0.497
F9 0.178 0.675 0.590
F10 0.180 0.391 0.923
F11 0.242 0.320 0.711
F12 0.273 0.656 0.207
F13 0.303 0.923 0.273
F14 0.416 0.413 0.090
F15 0.423 0.651 0.620
F16 0.425 0.952 0.880
F17 0.428 0.455 0.380
F18 0.434 0.227 0.884
F19 0.452 0.072 0.527
F20 0.470 0.197 0.120
F21 0.530 0.803 0.880
F22 0.548 0.928 0.473
F23 0.566 0.773 0.116
F24 0.572 0.545 0.620
F25 0.575 0.048 0.120
F26 0.577 0.349 0.380
F27 0.584 0.587 0.910
F28 0.697 0.077 0.727
F29 0.727 0.344 0.793
F30 0.758 0.680 0.289
F31 0.820 0.609 0.077
F32 0.822 0.325 0.410
F33 0.825 0.916 0.503
F34 0.844 0.551 0.616
F35 0.849 0.970 0.773
F36 0.891 0.469 0.211
F37 0.913 0.322 0.997
F38 0.949 0.066 0.293
F39 0.955 0.075 0.027
F40 0.969 0.258 0.577

No. 2
This record from OQMD via LeMat-Bulk describes crystalline BaCuSb2Pd at its relaxed geometry. The functional is PBE.

Summary:
total energy = -4.4592 eV per atom
SG = P4/nmm (129)
crystal system = tetragonal
relative energy among the computed polymorphs = 0 meV/atom

a = 4.733 Å, b = 4.733 Å, c = 10.904 Å
α = 90.00°, β = 90.00°, γ = 90.00°
Positions (direct):
Ba1 0.250 0.250 0.242
Ba2 0.750 0.750 0.758
Cu1 0.250 0.750 0.000
Cu2 0.750 0.250 0.000
Sb1 0.250 0.250 0.876
Sb2 0.250 0.750 0.500
Sb3 0.750 0.250 0.500
Sb4 0.750 0.750 0.124
Pd1 0.250 0.250 0.625
Pd2 0.750 0.750 0.375

No. 3
This record from OQMD via LeMat-Bulk describes crystalline Dy2ErFe3Ni6 at its relaxed geometry. The functional is PBE.

Summary:
total energy = -6.3026 eV per atom
SG = R-3m (166)
magnetization = 8.724 μB per formula unit
crystal system = trigonal
DFT formation energy = -294 meV/atom

a = 8.518 Å, b = 8.518 Å, c = 8.518 Å
α = 34.28°, β = 34.28°, γ = 34.28°
Positions (direct):
Dy1 0.139 0.139 0.139
Dy2 0.861 0.861 0.861
Er1 0.000 0.000 0.000
Fe1 0.333 0.333 0.333
Fe2 0.500 0.500 0.500
Fe3 0.667 0.667 0.667
Ni1 0.082 0.582 0.582
Ni2 0.418 0.418 0.918
Ni3 0.418 0.918 0.418
Ni4 0.582 0.082 0.582
Ni5 0.582 0.582 0.082
Ni6 0.918 0.418 0.418

No. 4
This record from OQMD via LeMat-Bulk describes crystalline Ta5W8 at its relaxed geometry. The functional is PBE.

Summary:
total energy = -12.3989 eV per atom
SG = R-3m (166)
magnetization = 0.004 μB per formula unit
crystal system = trigonal
relative energy among the computed polymorphs = 74 meV/atom
DFT formation energy = 135 meV/atom

a = 9.929 Å, b = 9.929 Å, c = 9.929 Å
α = 30.78°, β = 30.78°, γ = 30.78°
Positions (direct):
Ta1 0.000 0.000 0.000
Ta2 0.351 0.351 0.351
Ta3 0.454 0.454 0.454
Ta4 0.546 0.546 0.546
Ta5 0.649 0.649 0.649
W1 0.090 0.090 0.584
W2 0.090 0.584 0.090
W3 0.168 0.168 0.168
W4 0.416 0.910 0.910
W5 0.584 0.090 0.090
W6 0.832 0.832 0.832
W7 0.910 0.416 0.910
W8 0.910 0.910 0.416

No. 5
This record from OQMD via LeMat-Bulk describes crystalline ErLuGe2Ir at its relaxed geometry. The functional is PBE.

Summary:
total energy = -6.3521 eV per atom
SG = C2/m (12)
magnetization = 0.001 μB per formula unit
crystal system = monoclinic

a = 5.607 Å, b = 5.607 Å, c = 10.191 Å
α = 114.40°, β = 114.40°, γ = 44.82°
Positions (direct):
Er1 0.190 0.190 0.118
Er2 0.810 0.810 0.882
Lu1 0.008 0.008 0.330
Lu2 0.992 0.992 0.670
Ge1 0.354 0.354 0.447
Ge2 0.478 0.478 0.115
Ge3 0.522 0.522 0.885
Ge4 0.646 0.646 0.553
Ir1 0.271 0.271 0.665
Ir2 0.729 0.729 0.335

No. 6
This record from OQMD via LeMat-Bulk describes crystalline ZnCoAgAs at its relaxed geometry. The functional is PBE.

Summary:
total energy = -3.6756 eV per atom
SG = F-43m (216)
magnetization = 0.187 μB per formula unit
crystal system = cubic
relative energy among the computed polymorphs = 37 meV/atom

a = 4.395 Å, b = 4.395 Å, c = 4.395 Å
α = 60.00°, β = 60.00°, γ = 60.00°
Positions (direct):
Zn1 0.000 0.000 0.000
Co1 0.500 0.500 0.500
Ag1 0.750 0.750 0.750
As1 0.250 0.250 0.250

No. 7
This record from OQMD via LeMat-Bulk describes crystalline LuAg at its relaxed geometry. The functional is PBE.

Summary:
total energy = -3.7576 eV per atom
SG = Fm-3m (225)
magnetization = 0.001 μB per formula unit
crystal system = cubic
DFT formation energy = -84 meV/atom

a = 4.135 Å, b = 4.135 Å, c = 4.135 Å
α = 60.00°, β = 60.00°, γ = 60.00°
Positions (direct):
Lu1 0.000 0.000 0.000
Ag1 0.500 0.500 0.500

No. 8
This record from OQMD via LeMat-Bulk describes crystalline CoAsWAu at its relaxed geometry. The functional is PBE.

Summary:
total energy = -6.2242 eV per atom
SG = F-43m (216)
magnetization = 0.468 μB per formula unit
crystal system = cubic
relative energy among the computed polymorphs = 332 meV/atom

a = 4.476 Å, b = 4.476 Å, c = 4.476 Å
α = 60.00°, β = 60.00°, γ = 60.00°
Positions (direct):
Co1 0.000 0.000 0.000
As1 0.750 0.750 0.750
W1 0.250 0.250 0.250
Au1 0.500 0.500 0.500

No. 9
This record from OQMD via LeMat-Bulk describes crystalline Tm2Ta2O5 at its relaxed geometry. The functional is PBE.

Summary:
total energy = -8.6581 eV per atom
SG = P4/mmm (123)
magnetization = 0.021 μB per formula unit
crystal system = tetragonal
relative energy among the computed polymorphs = 67 meV/atom

a = 3.465 Å, b = 3.465 Å, c = 9.609 Å
α = 90.00°, β = 90.00°, γ = 90.00°
Positions (direct):
Tm1 0.000 0.000 0.233
Tm2 0.000 0.000 0.767
Ta1 0.500 0.500 0.000
Ta2 0.500 0.500 0.500
O1 0.000 0.000 0.000
O2 0.000 0.500 0.376
O3 0.000 0.500 0.624
O4 0.500 0.000 0.376
O5 0.500 0.000 0.624

No. 10
This record from OQMD via LeMat-Bulk describes crystalline BeFeBiAu at its relaxed geometry. The functional is PBE.

Summary:
total energy = -4.3131 eV per atom
SG = F-43m (216)
magnetization = 2.595 μB per formula unit
crystal system = cubic
relative energy among the computed polymorphs = 0 meV/atom

a = 4.591 Å, b = 4.591 Å, c = 4.591 Å
α = 60.00°, β = 60.00°, γ = 60.00°
Positions (direct):
Be1 0.000 0.000 0.000
Fe1 0.500 0.500 0.500
Bi1 0.250 0.250 0.250
Au1 0.750 0.750 0.750

No. 11
This record from OQMD via LeMat-Bulk describes crystalline SmBiAsO5 at its relaxed geometry. The functional is PBE.

Summary:
total energy = -6.5716 eV per atom
SG = C2/m (12)
magnetization = 0.790 μB per formula unit
crystal system = monoclinic

a = 6.920 Å, b = 6.920 Å, c = 7.151 Å
α = 109.53°, β = 109.53°, γ = 46.18°
Positions (direct):
Sm1 0.167 0.167 0.106
Sm2 0.833 0.833 0.894
Bi1 0.492 0.492 0.749
Bi2 0.508 0.508 0.251
As1 0.155 0.155 0.636
As2 0.845 0.845 0.364
O1 0.093 0.093 0.359
O2 0.096 0.583 0.185
O3 0.258 0.742 0.000
O4 0.300 0.300 0.685
O5 0.417 0.904 0.815
O6 0.583 0.096 0.185
O7 0.700 0.700 0.315
O8 0.742 0.258 0.000
O9 0.904 0.417 0.815
O10 0.907 0.907 0.641

No. 12
This record from OQMD via LeMat-Bulk describes crystalline Tm2Ge2O5 at its relaxed geometry. The functional is PBE.

Summary:
total energy = -6.6280 eV per atom
SG = P4/mmm (123)
magnetization = 0.018 μB per formula unit
crystal system = tetragonal
relative energy among the computed polymorphs = 46 meV/atom

a = 4.044 Å, b = 4.044 Å, c = 6.502 Å
α = 90.00°, β = 90.00°, γ = 90.00°
Positions (direct):
Tm1 0.000 0.000 0.000
Tm2 0.000 0.000 0.500
Ge1 0.500 0.500 0.211
Ge2 0.500 0.500 0.789
O1 0.000 0.500 0.231
O2 0.000 0.500 0.769
O3 0.500 0.000 0.231
O4 0.500 0.000 0.769
O5 0.500 0.500 0.500

No. 13
This record from OQMD via LeMat-Bulk describes crystalline Sm3Mg3AlZn2 at its relaxed geometry. The functional is PBE.

Summary:
total energy = -3.0503 eV per atom
SG = P-62m (189)
magnetization = 0.021 μB per formula unit
crystal system = hexagonal

a = 7.348 Å, b = 7.348 Å, c = 4.617 Å
α = 90.00°, β = 90.00°, γ = 120.00°
Positions (direct):
Sm1 0.000 0.572 0.000
Sm2 0.428 0.428 0.000
Sm3 0.572 0.000 0.000
Mg1 0.000 0.242 0.500
Mg2 0.242 0.000 0.500
Mg3 0.758 0.758 0.500
Al1 0.000 0.000 0.000
Zn1 0.333 0.667 0.500
Zn2 0.667 0.333 0.500

No. 14
This record from OQMD via LeMat-Bulk describes crystalline Er2ZrAs3 at its relaxed geometry. The functional is PBE.

Summary:
total energy = -6.6556 eV per atom
SG = P-3m1 (164)
magnetization = 0.004 μB per formula unit
crystal system = trigonal

a = 3.992 Å, b = 3.992 Å, c = 9.853 Å
α = 90.00°, β = 90.00°, γ = 120.00°
Positions (direct):
Er1 0.333 0.667 0.329
Er2 0.667 0.333 0.671
Zr1 0.000 0.000 0.000
As1 0.000 0.000 0.500
As2 0.333 0.667 0.842
As3 0.667 0.333 0.158

No. 15
This record from OQMD via LeMat-Bulk describes crystalline CdSiMo4C2 at its relaxed geometry. The functional is PBE.

Summary:
total energy = -8.5736 eV per atom
SG = P-6m2 (187)
magnetization = 0.004 μB per formula unit
crystal system = hexagonal

a = 3.103 Å, b = 3.103 Å, c = 13.282 Å
α = 90.00°, β = 90.00°, γ = 120.00°
Positions (direct):
Cd1 0.000 0.000 0.000
Si1 0.667 0.333 0.500
Mo1 0.000 0.000 0.360
Mo2 0.000 0.000 0.640
Mo3 0.667 0.333 0.186
Mo4 0.667 0.333 0.814
C1 0.333 0.667 0.267
C2 0.333 0.667 0.733

No. 16
This record from OQMD via LeMat-Bulk describes crystalline TbDyMo2C3 at its relaxed geometry. The functional is PBE.

Summary:
total energy = -8.6877 eV per atom
SG = Cm (8)
magnetization = 0.005 μB per formula unit
crystal system = monoclinic

a = 5.916 Å, b = 5.916 Å, c = 5.712 Å
α = 106.84°, β = 106.84°, γ = 33.38°
Positions (direct):
Tb1 0.000 0.000 0.000
Dy1 0.227 0.227 0.643
Mo1 0.463 0.463 0.446
Mo2 0.763 0.763 0.197
C1 0.341 0.341 0.080
C2 0.614 0.614 0.323
C3 0.885 0.885 0.563

No. 17
This record from OQMD via LeMat-Bulk describes crystalline Lu4CuSnN2 at its relaxed geometry. The functional is PBE.

Summary:
total energy = -6.3574 eV per atom
SG = P-6m2 (187)
magnetization = 0.069 μB per formula unit
crystal system = hexagonal

a = 3.415 Å, b = 3.415 Å, c = 14.374 Å
α = 90.00°, β = 90.00°, γ = 120.00°
Positions (direct):
Lu1 0.000 0.000 0.142
Lu2 0.000 0.000 0.858
Lu3 0.333 0.667 0.325
Lu4 0.333 0.667 0.675
Cu1 0.333 0.667 0.000
Sn1 0.000 0.000 0.500
N1 0.667 0.333 0.243
N2 0.667 0.333 0.757

No. 18
This record from OQMD via LeMat-Bulk describes crystalline PaReIr at its relaxed geometry. The functional is PBE.

Summary:
total energy = -9.7565 eV per atom
SG = F-43m (216)
magnetization = 0.000 μB per formula unit
crystal system = cubic
relative energy among the computed polymorphs = 222 meV/atom
DFT formation energy = 501 meV/atom

a = 4.504 Å, b = 4.504 Å, c = 4.504 Å
α = 60.00°, β = 60.00°, γ = 60.00°
Positions (direct):
Pa1 0.000 0.000 0.000
Re1 0.250 0.250 0.250
Ir1 0.750 0.750 0.750

No. 19
This record from OQMD via LeMat-Bulk describes crystalline Zr4SN3 at its relaxed geometry. The functional is PBE.

Summary:
total energy = -9.5451 eV per atom
SG = P6_3/mmc (194)
magnetization = 0.000 μB per formula unit
crystal system = hexagonal

a = 3.308 Å, b = 3.308 Å, c = 22.876 Å
α = 90.00°, β = 90.00°, γ = 120.00°
Positions (direct):
Zr1 0.000 0.000 0.170
Zr2 0.000 0.000 0.330
Zr3 0.000 0.000 0.670
Zr4 0.000 0.000 0.830
Zr5 0.333 0.667 0.059
Zr6 0.333 0.667 0.441
Zr7 0.667 0.333 0.559
Zr8 0.667 0.333 0.941
S1 0.333 0.667 0.250
S2 0.667 0.333 0.750
N1 0.000 0.000 0.000
N2 0.000 0.000 0.500
N3 0.333 0.667 0.614
N4 0.333 0.667 0.886
N5 0.667 0.333 0.114
N6 0.667 0.333 0.386

No. 20
This record from OQMD via LeMat-Bulk describes crystalline TmReGe at its relaxed geometry. The functional is PBE.

Summary:
total energy = -7.0207 eV per atom
SG = F-43m (216)
magnetization = 0.022 μB per formula unit
crystal system = cubic
relative energy among the computed polymorphs = 0 meV/atom

a = 4.403 Å, b = 4.403 Å, c = 4.403 Å
α = 60.00°, β = 60.00°, γ = 60.00°
Positions (direct):
Tm1 0.000 0.000 0.000
Re1 0.500 0.500 0.500
Ge1 0.750 0.750 0.750